Density functional theory data (PBE) for a geometry-optimized ZrHSe structure.

Cell: 9.5823 3.5601 5.4654 Å, 90.00 104.23 90.00°
Space group Cm (No. 8)
Symmetry-distinct sites (fractional):
Zr 0.0000 0.0000 0.0000 [2 per cell]
Zr 0.1396 0.5000 0.5475 [2 per cell]
H 0.0593 0.0000 0.3846 [2 per cell]
H 0.4736 0.0000 0.1921 [2 per cell]
Se 0.2238 0.5000 0.0788 [2 per cell]
Se 0.3727 0.0000 0.6332 [2 per cell]

Summary:
Calculated density   6.29 g cm⁻³
VASP energy   -6.13 eV per atom